{"formula": "TcSb6Mo", "functional": "PBE", "state": "optimized geometry", "e_tot_ev_per_fu": -44.49, "lattice": [[-0.489, -6.124, 3.974], [-1.756, -4.191, -2.233], [4.850, -3.620, -2.760]], "species": ["Sb", "Sb", "Sb", "Sb", "Sb", "Sb", "Mo", "Tc"], "frac_coords": [[0.236, 0.288, 0.000], [0.764, 0.712, 0.000], [0.264, 0.978, 0.641], [0.264, 0.619, 0.359], [0.736, 0.022, 0.359], [0.736, 0.381, 0.641], [0.000, 0.000, 0.000], [0.500, 0.500, 0.000]]}